1.
# TbSm2GaO | Alexandria via LeMat-Bulk | PBE | optimized geometry
data_TbSm2GaO
_cell_length_a 4.8423
_cell_length_b 4.8423
_cell_length_c 4.7155
_cell_angle_alpha 90.00
_cell_angle_beta 90.00
_cell_angle_gamma 90.00
_symmetry_space_group_name_H-M 'P 4/m m m'
_symmetry_Int_Tables_number 123
_symmetry_space_group_name_Hall '-P 4 2'
loop_
_atom_site_label
_atom_site_fract_x
_atom_site_fract_y
_atom_site_fract_z
Tb1 0.0000 0.0000 0.0000
Sm1 0.0000 0.5000 0.5000
Ga1 0.5000 0.5000 0.0000
O1 0.0000 0.0000 0.5000
# E_form (uncorrected) = -1.398 eV/atom
# VASP energy = -5.81 eV per atom


2.
# Tb2Sm4Ga3O2 | Alexandria via LeMat-Bulk | PBE | optimized geometry
data_Tb2Sm4Ga3O2
_cell_length_a 4.7497
_cell_length_b 4.7497
_cell_length_c 23.3860
_cell_angle_alpha 90.00
_cell_angle_beta 90.00
_cell_angle_gamma 90.00
_symmetry_space_group_name_H-M 'I 4/m m m'
_symmetry_Int_Tables_number 139
_symmetry_space_group_name_Hall '-I 4 2'
loop_
_atom_site_label
_atom_site_fract_x
_atom_site_fract_y
_atom_site_fract_z
Tb1 0.0000 0.0000 0.2023
Sm1 0.0000 0.5000 0.0839
Ga1 0.0000 0.0000 0.3289
Ga2 0.0000 0.0000 0.5000
O1 0.0000 0.0000 0.1045
# E_form (uncorrected) = -1.314 eV/atom
# VASP energy = -5.60 eV per atom


3.
# SmGa2TeO8 | Alexandria via LeMat-Bulk | PBE | optimized geometry
data_SmGa2TeO8
_cell_length_a 4.5861
_cell_length_b 4.6632
_cell_length_c 6.9975
_cell_angle_alpha 86.79
_cell_angle_beta 88.79
_cell_angle_gamma 88.43
_symmetry_space_group_name_H-M 'P -1'
_symmetry_Int_Tables_number 2
_symmetry_space_group_name_Hall '-P 1'
loop_
_atom_site_label
_atom_site_fract_x
_atom_site_fract_y
_atom_site_fract_z
Sm1 0.0000 0.0000 0.0000
Ga1 0.4735 0.4705 0.7083
Te1 0.0000 0.0000 0.5000
O1 0.1875 0.7891 0.7160
O2 0.1900 0.8042 0.2924
O3 0.3061 0.2914 0.4909
O4 0.3793 0.3146 0.9546
# E_form (uncorrected) = -1.672 eV/atom
# VASP energy = -6.14 eV per atom


4.
# SmUGa2O8 | Alexandria via LeMat-Bulk | PBE | optimized geometry
data_SmUGa2O8
_cell_length_a 6.6483
_cell_length_b 6.8452
_cell_length_c 6.8289
_cell_angle_alpha 90.00
_cell_angle_beta 90.00
_cell_angle_gamma 90.00
_symmetry_space_group_name_H-M 'C m m m'
_symmetry_Int_Tables_number 65
_symmetry_space_group_name_Hall '-C 2 2'
loop_
_atom_site_label
_atom_site_fract_x
_atom_site_fract_y
_atom_site_fract_z
Sm1 0.0000 0.0000 0.0000
U1 0.0000 0.0000 0.5000
Ga1 0.0000 0.5000 0.2533
O1 0.0000 0.3066 0.5000
O2 0.0000 0.3325 0.0000
O3 0.2080 0.0000 0.2723
# E_form (uncorrected) = -2.342 eV/atom
# VASP energy = -7.49 eV per atom